A relaxed structure of LiPu2Cl5, computed with PBE-GGA.

Cell lengths 6.9999, 6.9999, 13.4131 Å; angles 90.00, 90.00, 133.18 degrees
Fractional coordinates of all 16 atoms:
1 Li 0.1859 0.8141 0.7500
2 Li 0.8141 0.1859 0.2500
3 Pu 0.1563 0.8437 0.0622
4 Pu 0.1563 0.8437 0.4378
5 Pu 0.8437 0.1563 0.5622
6 Pu 0.8437 0.1563 0.9378
7 Cl 0.0514 0.9486 0.6220
8 Cl 0.0514 0.9486 0.8780
9 Cl 0.2620 0.7380 0.2500
10 Cl 0.3207 0.6793 0.5840
11 Cl 0.3207 0.6793 0.9160
12 Cl 0.6793 0.3207 0.0840
13 Cl 0.6793 0.3207 0.4160
14 Cl 0.7380 0.2620 0.7500
15 Cl 0.9486 0.0514 0.1220
16 Cl 0.9486 0.0514 0.3780

Computed properties:
- calculated volume (A^3/atom) = 29.95
- E above lowest polymorph (meV per atom) = 0.0
- formation energy from raw total energies (eV/f.u.) = -13.72
- magnetic moment (μB per formula unit) = 12.00
- space group = Cmcm, No. 63
- theoretical density (g/cm3) = 4.7

A relaxed structure of NpHF2, computed with PBE-GGA.

Cell lengths 3.2342, 3.2342, 4.6034 Å; angles 90.00, 90.00, 90.00 degrees
Fractional coordinates of all 4 atoms:
1 Np 0.0000 0.0000 0.0000
2 H 0.5000 0.5000 0.7929
3 F 0.0000 0.0000 0.5208
4 F 0.5000 0.5000 0.2439

Computed properties:
- calculated volume (A^3/atom) = 12.04
- raw total energy (eV for the cell shown) = -27.49
- magnetic moment (μB per formula unit) = 4.00
- space group = P4mm, No. 99
- theoretical density (g/cm3) = 9.5

A relaxed structure of Ce3As2H, computed with PBE-GGA.

Cell lengths 7.0439, 7.0439, 8.1655 Å; angles 106.84, 106.84, 49.40 degrees
Fractional coordinates of all 12 atoms:
1 Ce 0.0159 0.9841 0.7500
2 Ce 0.3431 0.3444 0.4218
3 Ce 0.3444 0.3431 0.9218
4 Ce 0.6556 0.6569 0.0782
5 Ce 0.6569 0.6556 0.5782
6 Ce 0.9841 0.0159 0.2500
7 As 0.1724 0.1738 0.0865
8 As 0.1738 0.1724 0.5865
9 As 0.8262 0.8276 0.4135
10 As 0.8276 0.8262 0.9135
11 H 0.4585 0.5415 0.7500
12 H 0.5415 0.4585 0.2500

Computed properties:
- calculated volume (A^3/atom) = 24.30
- raw total energy (eV for the cell shown) = -72.14
- magnetic moment (μB per formula unit) = 3.54
- space group = C2/c, No. 15
- theoretical density (g/cm3) = 6.5

A relaxed structure of NaCaRu2, computed with PBE-GGA.

Cell lengths 6.1273, 6.1273, 6.1273 Å; angles 99.81, 99.81, 131.24 degrees
Fractional coordinates of all 8 atoms:
1 Na 0.0000 0.0000 0.0000
2 Na 0.7500 0.2500 0.5000
3 Ca 0.2500 0.7500 0.5000
4 Ca 0.5000 0.5000 0.0000
5 Ru 0.1049 0.6250 0.9799
6 Ru 0.3750 0.3549 0.4799
7 Ru 0.6451 0.1250 0.0201
8 Ru 0.8750 0.8951 0.5201

Computed properties:
- energy of formation from the pure elements (eV/atom) = 1.0108
- calculated volume (A^3/atom) = 19.69
- E above lowest polymorph (meV per atom) = 846.3
- magnetic moment (μB per formula unit) = 0.75
- space group = I-42d, No. 122
- theoretical density (g/cm3) = 5.6

A relaxed structure of HfMg2Au, computed with PBE-GGA.

Cell lengths 3.1080, 3.1080, 8.2755 Å; angles 90.00, 90.00, 90.00 degrees
Fractional coordinates of all 4 atoms:
1 Hf 0.0000 0.0000 0.0000
2 Mg 0.5000 0.5000 0.2800
3 Mg 0.5000 0.5000 0.7200
4 Au 0.0000 0.0000 0.5000

Computed properties:
- energy of formation from the pure elements (eV/atom) = -0.2056
- calculated volume (A^3/atom) = 19.98
- E above lowest polymorph (meV per atom) = 0.0
- magnetic moment (μB per formula unit) = 0.37
- space group = P4/mmm, No. 123
- theoretical density (g/cm3) = 8.8

A relaxed structure of Ba3Tb2ErTe6, computed with PBE-GGA.

Cell lengths 7.9204, 7.9204, 8.2544 Å; angles 99.23, 99.23, 119.90 degrees
Fractional coordinates of all 12 atoms:
1 Ba 0.0000 0.0000 0.0000
2 Ba 0.3320 0.6680 0.0000
3 Ba 0.6680 0.3320 0.0000
4 Tb 0.1661 0.8339 0.5000
5 Tb 0.8339 0.1661 0.5000
6 Er 0.5000 0.5000 0.5000
7 Te 0.0983 0.4288 0.2856
8 Te 0.2418 0.2418 0.7158
9 Te 0.4288 0.0983 0.2856
10 Te 0.5712 0.9017 0.7144
11 Te 0.7582 0.7582 0.2842
12 Te 0.9017 0.5712 0.7144

Computed properties:
- calculated volume (A^3/atom) = 35.44
- formation energy from raw total energies (eV/f.u.) = -18.19
- magnetic moment (μB per formula unit) = 0.00
- space group = C2/m, No. 12
- theoretical density (g/cm3) = 6.5

A relaxed structure of V2CoGe, computed with PBE-GGA.

Cell lengths 3.5671, 3.5671, 3.9726 Å; angles 90.00, 90.00, 90.00 degrees
Fractional coordinates of all 4 atoms:
1 V 0.0000 0.5000 0.0000
2 V 0.5000 0.0000 0.0000
3 Co 0.0000 0.0000 0.5000
4 Ge 0.5000 0.5000 0.5000

Computed properties:
- energy of formation from the pure elements (eV/atom) = -0.2479
- calculated volume (A^3/atom) = 12.64
- magnetic moment (μB per formula unit) = 0.02
- space group = P4/mmm, No. 123
- theoretical density (g/cm3) = 7.7

A relaxed structure of MgIn2W, computed with PBE-GGA.

Cell lengths 5.2158, 5.2158, 5.5042 Å; angles 96.83, 96.83, 32.74 degrees
Fractional coordinates of all 4 atoms:
1 Mg 0.0000 0.0000 0.0000
2 In 0.2413 0.2413 0.7385
3 In 0.7587 0.7587 0.2615
4 W 0.5000 0.5000 0.5000

Computed properties:
- energy of formation from the pure elements (eV/atom) = 0.4230
- calculated volume (A^3/atom) = 20.09
- magnetic moment (μB per formula unit) = 0.00
- space group = C2/m, No. 12
- theoretical density (g/cm3) = 9.0

A relaxed structure of LaBiOs2, computed with PBE-GGA.

Cell lengths 6.2594, 6.2594, 6.2594 Å; angles 104.93, 104.93, 118.99 degrees
Fractional coordinates of all 8 atoms:
1 La 0.0000 0.0000 0.0000
2 La 0.7500 0.2500 0.5000
3 Bi 0.2500 0.7500 0.5000
4 Bi 0.5000 0.5000 0.0000
5 Os 0.1560 0.6250 0.0310
6 Os 0.3750 0.4060 0.5310
7 Os 0.5940 0.1250 0.9690
8 Os 0.8750 0.8440 0.4690

Computed properties:
- energy of formation from the pure elements (eV/atom) = 0.9888
- calculated volume (A^3/atom) = 23.10
- magnetic moment (μB per formula unit) = 0.00
- space group = I-42d, No. 122
- theoretical density (g/cm3) = 13.1

A relaxed structure of GdScMnZn, computed with PBE-GGA.

Cell lengths 4.8795, 4.8795, 4.8795 Å; angles 60.00, 60.00, 60.00 degrees
Fractional coordinates of all 4 atoms:
1 Gd 0.0000 0.0000 0.0000
2 Sc 0.5000 0.5000 0.5000
3 Mn 0.7500 0.7500 0.7500
4 Zn 0.2500 0.2500 0.2500

Computed properties:
- energy of formation from the pure elements (eV/atom) = -0.0272
- calculated volume (A^3/atom) = 20.54
- magnetic moment (μB per formula unit) = 9.54
- space group = F-43m, No. 216
- theoretical density (g/cm3) = 6.5

A relaxed structure of TeCl3, computed with PBE-GGA.

Cell lengths 12.2023, 12.2023, 12.2023 Å; angles 16.32, 16.32, 16.32 degrees
Fractional coordinates of all 4 atoms:
1 Te 0.0000 0.0000 0.0000
2 Cl 0.0671 0.0671 0.0671
3 Cl 0.5000 0.5000 0.5000
4 Cl 0.9329 0.9329 0.9329

Computed properties:
- calculated volume (A^3/atom) = 31.29
- E above lowest polymorph (meV per atom) = 475.5
- formation energy from raw total energies (eV/f.u.) = 0.23
- magnetic moment (μB per formula unit) = 0.94
- space group = R-3m, No. 166
- theoretical density (g/cm3) = 3.1

A relaxed structure of NaTlGaBi, computed with PBE-GGA.

Cell lengths 5.3817, 5.3817, 5.3817 Å; angles 60.00, 60.00, 60.00 degrees
Fractional coordinates of all 4 atoms:
1 Na 0.0000 0.0000 0.0000
2 Tl 0.7500 0.7500 0.7500
3 Ga 0.5000 0.5000 0.5000
4 Bi 0.2500 0.2500 0.2500

Computed properties:
- energy of formation from the pure elements (eV/atom) = -0.1049
- calculated volume (A^3/atom) = 27.55
- magnetic moment (μB per formula unit) = 0.00
- space group = F-43m, No. 216
- theoretical density (g/cm3) = 7.6

Please write out number 7 again, unchanged.
A relaxed structure of V2CoGe, computed with PBE-GGA.

Cell lengths 3.5671, 3.5671, 3.9726 Å; angles 90.00, 90.00, 90.00 degrees
Fractional coordinates of all 4 atoms:
1 V 0.0000 0.5000 0.0000
2 V 0.5000 0.0000 0.0000
3 Co 0.0000 0.0000 0.5000
4 Ge 0.5000 0.5000 0.5000

Computed properties:
- energy of formation from the pure elements (eV/atom) = -0.2479
- calculated volume (A^3/atom) = 12.64
- magnetic moment (μB per formula unit) = 0.02
- space group = P4/mmm, No. 123
- theoretical density (g/cm3) = 7.7

Question: What is the magnetic moment in the eighth record?
Answer: 0.00 μB per formula unit

Question: Which of these has the lowest calculated volume?
Answer: NpHF2